[1]
# MgZrCoNi PBE relaxed
data_MgZrCoNi
_chemical_formula_sum 'Mg1 Zr1 Co1 Ni1'
_space_group_name_H-M_alt 'P 1'
_space_group_IT_number 1
_space_group_name_Hall 'P 1'
_cell_length_a 4.4045
_cell_length_b 4.4045
_cell_length_c 4.4045
_cell_angle_alpha 60.00
_cell_angle_beta 60.00
_cell_angle_gamma 60.00
loop_
_atom_site_label
_atom_site_fract_x
_atom_site_fract_y
_atom_site_fract_z
Mg1 0.0000 0.0000 0.0000
Zr1 0.5000 0.5000 0.5000
Co1 0.2500 0.2500 0.2500
Ni1 0.7500 0.7500 0.7500
# Energy in eV per atom: -5.9999
# Energy relative to the elements in meV per atom: -242
# Total moment in μB per cell: 0.35
# SG: F-43m (216)

---

[2]
# Mg3NpCo8 PBE relaxed
data_Mg3NpCo8
_chemical_formula_sum 'Mg3 Np1 Co8'
_space_group_name_H-M_alt 'P 1'
_space_group_IT_number 1
_space_group_name_Hall 'P 1'
_cell_length_a 8.4727
_cell_length_b 8.4727
_cell_length_c 8.4727
_cell_angle_alpha 33.44
_cell_angle_beta 33.44
_cell_angle_gamma 33.44
loop_
_atom_site_label
_atom_site_fract_x
_atom_site_fract_y
_atom_site_fract_z
Mg1 0.0000 0.0000 0.0000
Mg2 0.1204 0.1204 0.1204
Mg3 0.6306 0.6306 0.6306
Np1 0.5024 0.5024 0.5024
Co1 0.0617 0.5643 0.5643
Co2 0.0643 0.0643 0.5650
Co3 0.0643 0.5650 0.0643
Co4 0.3140 0.3140 0.3140
Co5 0.5643 0.0617 0.5643
Co6 0.5643 0.5643 0.0617
Co7 0.5650 0.0643 0.0643
Co8 0.8133 0.8133 0.8133
# Energy in eV per atom: -6.2521
# Energy relative to the elements in meV per atom: -38
# Total moment in μB per cell: 6.72
# SG: R3m (160)